A plane-wave DFT calculation with PBEsol was carried out for a relaxed structure of Y2SbBr.

Calculated values
Formation energy (no corrections) in meV per atom: -795
Symmetry: I-4m2
D(E_F) in states/eV/f.u.: 4.18
Electronic total energy in eV/atom: -5.8130

Unit cell a=6.676 b=6.676 c=6.676 alpha=143.08 beta=143.08 gamma=53.21
Fractional positions:
Y1 0.000 0.000 0.000
Y2 0.750 0.250 0.500
Sb1 0.250 0.750 0.500
Br1 0.500 0.500 0.000